Entry from Alexandria via LeMat-Bulk: a relaxed Ac2ZrRh crystal (PBE).

Results
- calculated formation energy (eV/atom) = 0.2750
- D(E_F) (states/eV per atom) = 1.372
- magnetic moment (μB/f.u.) = 1.698

Cell: 3.8569 3.8569 31.5799 Å, 90.00 90.00 120.00°
Space group R-3m (No. 166, hexagonal axes)
Asymmetric unit:
Ac 0.0000 0.0000 0.1067 (multiplicity 6)
Zr 0.0000 0.0000 0.0000 (multiplicity 3)
Rh 0.0000 0.0000 0.5000 (multiplicity 3)